VASP calculation (GGA-PBE) on a relaxed structure of ZnIr9W2.

The space group is P4/mmm (No. 123) and the conventional cell measures 3.893, 3.893 and 11.662 Å, with angles of 90.00, 90.00 and 90.00 degrees. The distinct sites, in fractional coordinates, are Zn at (0.000, 0.000, 0.000), Ir at (0.000, 0.500, 0.171), Ir at (0.000, 0.500, 0.500), Ir at (0.500, 0.500, 0.000), Ir at (0.500, 0.500, 0.335) and W at (0.000, 0.000, 0.326).

The calculated density comes out at 20.32 g cm⁻³. Its crystal system is tetragonal. Its energy is -9.17 eV per atom.